Entry from the Alexandria database: crystalline LaPRh at its relaxed geometry (PBEsol).

The density of states at the Fermi level is 7.3 states/eV per cell. As for the energy: -7.70 eV/atom. The energy of formation is -3.8 eV/f.u.

The structure belongs to space group I4_1md (No. 109); the cell edges are 4.096, 4.096 and 14.194 Å and the angles 90.00°, 90.00° and 90.00°. Symmetry generates all atoms from La at (0.000, 0.000, 0.000), P at (0.000, 0.000, 0.420) and Rh at (0.000, 0.000, 0.587).